Computed, not measured: a geometry-optimized CrRuN2O structure at the PBE+U level of DFT.

Output
* total energy: -33.504 eV for the cell shown
* size of the total moment: 0.2301 μB per atom

```
CrRuN2O
1.0
-1.2157 -0.8669 -3.4636
-0.6980 -3.5306 1.1286
-3.8318 1.0995 1.0698
Ru N Cr O
1 2 1 1
direct
0.0000 0.0000 0.0000
0.0000 0.5000 0.0000
0.5000 0.0000 0.0000
0.5000 0.5000 0.5000
0.0000 0.0000 0.5000
```